# SrH2S (GGA-PBEsol, relaxed)
data_SrH2S
_chemical_formula_sum 'Sr4 H8 S4'
_symmetry_space_group_name_H-M 'F m -3 m'
_symmetry_Int_Tables_number 225
_symmetry_space_group_name_Hall '-F 4 2 3'
_cell_length_a 5.9047
_cell_length_b 5.9047
_cell_length_c 5.9047
_cell_angle_alpha 90.00
_cell_angle_beta 90.00
_cell_angle_gamma 90.00
loop_
_atom_site_label
_atom_site_fract_x
_atom_site_fract_y
_atom_site_fract_z
Sr1 0.0000 0.0000 0.0000
H1 0.2500 0.2500 0.2500
S1 0.0000 0.0000 0.5000
# VASP energy ... -3.57 eV per atom

# In2TeMoIr (GGA-PBEsol, relaxed)
data_In2TeMoIr
_chemical_formula_sum 'In2 Te1 Mo1 Ir1'
_symmetry_space_group_name_H-M 'P 4/m m m'
_symmetry_Int_Tables_number 123
_symmetry_space_group_name_Hall '-P 4 2'
_cell_length_a 5.1952
_cell_length_b 5.1952
_cell_length_c 4.7073
_cell_angle_alpha 90.00
_cell_angle_beta 90.00
_cell_angle_gamma 90.00
loop_
_atom_site_label
_atom_site_fract_x
_atom_site_fract_y
_atom_site_fract_z
In1 0.0000 0.5000 0.0000
Te1 0.0000 0.0000 0.5000
Mo1 0.5000 0.5000 0.0000
Ir1 0.5000 0.5000 0.5000
# Formation energy without anion corrections ... 1000.2 meV/atom

| no. | magnetization (μB/cell) | N(E_F) (states/eV/f.u.) |
| --- | --- | --- |
| 1 | 0.0 | 0.83 |
| 2 | 0.6 | 6.51 |